#a
The following is a DFT calculation (PBE) of crystalline DyTm2Sc5 at its relaxed geometry.

Properties
Spin magnetization = 0.0002 μB per atom
DOS(E_F) = 1.9619 states/eV per atom
Volume = 214.35 Å³/f.u.

a = 10.6210 Å, b = 6.8281 Å, c = 7.9445 Å
α = 90.00°, β = 131.92°, γ = 90.00°
With the nearest neighbours (Å) after each atom.
Space group Cm (No. 8)
One atom of each set of equivalent atoms:
Dy 0.0000 0.0000 0.0000 [2 per cell]  9 Sc 3.28-3.44, 3 Tm 3.37-3.42
Tm 0.0754 0.5000 0.6603 [2 per cell]  10 Sc 3.30-3.45, 1 Tm 3.36, 1 Dy 3.37
Tm 0.4918 0.0000 0.0005 [2 per cell]  9 Sc 3.28-3.44, 1 Tm 3.36, 2 Dy 3.42
Sc 0.0753 0.0000 0.6581 [2 per cell]  8 Sc 3.30-3.47, 3 Tm 3.30-3.41, 1 Dy 3.30
Sc 0.2429 0.2501 0.4945 [4 per cell]  6 Sc 3.28-3.41, 4 Tm 3.30-3.44, 2 Dy 3.39-3.44
Sc 0.3299 0.2520 0.1682 [4 per cell]  4 Tm 3.28-3.45, 6 Sc 3.28-3.47, 2 Dy 3.28-3.34

---

#b
The following is a DFT calculation (PBE) of crystalline DyTm2Sc5 at its relaxed geometry.

Properties
Spin magnetization = 0.0000 μB per atom
DOS(E_F) = 1.9573 states/eV per atom
Volume = 212.89 Å³/f.u.

a = 6.7383 Å, b = 6.7383 Å, c = 9.3776 Å
α = 90.00°, β = 90.00°, γ = 90.00°
With the nearest neighbours (Å) after each atom.
Space group I4mm (No. 107)
One atom of each set of equivalent atoms:
Dy 0.0000 0.0000 0.0000 [2 per cell]  8 Sc 3.34, 4 Tm 3.37
Tm 0.0000 0.5000 0.0003 [4 per cell]  10 Sc 3.34-3.37, 2 Dy 3.37
Sc 0.0000 0.0000 0.5006 [2 per cell]  8 Sc 3.34, 4 Tm 3.37
Sc 0.2498 0.2498 0.2503 [8 per cell]  6 Sc 3.34-3.37, 2 Dy 3.34, 4 Tm 3.34

---

Most stable: #a. Least stable: #b.

---

#a
The following is a DFT calculation (PBE) of crystalline Dy2Tm4Sc at its relaxed geometry.

Properties
Spin magnetization = 0.0000 μB per atom
DOS(E_F) = 1.7475 states/eV per atom
Volume = 209.41 Å³/f.u.

a = 6.1399 Å, b = 8.2384 Å, c = 8.9720 Å
α = 84.24°, β = 89.98°, γ = 68.17°
With the nearest neighbours (Å) after each atom.
Space group P1 (No. 1)
One atom of each set of equivalent atoms:
Dy 0.0000 0.0000 0.0000 [1 per cell]  4 Dy 3.41-3.56, 7 Tm 3.45-3.58, 1 Sc 3.55
Dy 0.0454 0.5744 0.0703 [1 per cell]  2 Dy 3.41-3.44, 9 Tm 3.42-3.57, 1 Sc 3.42
Dy 0.4268 0.1439 0.1455 [1 per cell]  9 Tm 3.44-3.59, 3 Dy 3.44-3.56
Dy 0.7613 0.1451 0.6428 [1 per cell]  9 Tm 3.40-3.58, 2 Sc 3.43-3.44, 1 Dy 3.43
Tm 0.1830 0.2937 0.7839 [1 per cell]  5 Tm 3.36-3.57, 2 Sc 3.37-3.38, 5 Dy 3.46-3.58
Tm 0.2816 0.4320 0.4341 [1 per cell]  6 Tm 3.36-3.56, 3 Dy 3.42-3.58, 3 Sc 3.48-3.53
Tm 0.3316 0.9947 0.5046 [1 per cell]  2 Sc 3.37, 7 Tm 3.37-3.57, 3 Dy 3.46-3.57
Tm 0.4760 0.7133 0.2193 [1 per cell]  7 Tm 3.39-3.58, 1 Sc 3.40, 4 Dy 3.44-3.56
Tm 0.5706 0.8562 0.8547 [1 per cell]  4 Tm 3.37-3.50, 5 Dy 3.42-3.59, 3 Sc 3.48-3.54
Tm 0.6118 0.4345 0.9239 [1 per cell]  2 Sc 3.37-3.38, 5 Tm 3.38-3.58, 5 Dy 3.47-3.57
Tm 0.8544 0.2896 0.2886 [1 per cell]  6 Tm 3.39-3.56, 5 Dy 3.40-3.58, 1 Sc 3.54
Tm 0.9027 0.8543 0.3644 [1 per cell]  2 Sc 3.36-3.38, 6 Tm 3.38-3.56, 4 Dy 3.46-3.57
Sc 0.1408 0.7142 0.7130 [1 per cell]  7 Tm 3.36-3.54, 3 Dy 3.42-3.55, 2 Sc 3.52
Sc 0.7104 0.5746 0.5742 [1 per cell]  9 Tm 3.37-3.54, 1 Dy 3.43, 2 Sc 3.52

---

#b
The following is a DFT calculation (PBE) of crystalline Dy2Tm4Sc at its relaxed geometry.

Properties
Spin magnetization = 0.0000 μB per atom
DOS(E_F) = 1.5584 states/eV per atom
Volume = 212.83 Å³/f.u.

a = 5.4459 Å, b = 12.0637 Å, c = 12.9584 Å
α = 90.00°, β = 90.00°, γ = 90.00°
With the nearest neighbours (Å) after each atom.
Space group Cmce (No. 64)
One atom of each set of equivalent atoms:
Dy 0.0000 0.0710 0.1553 [8 per cell]  5 Tm 3.38-3.66, 2 Sc 3.49, 2 Dy 3.67
Tm 0.0000 0.1460 0.6802 [8 per cell]  1 Sc 2.92, 4 Tm 3.27
Tm 0.0000 0.2455 0.9254 [8 per cell]  1 Sc 3.22, 6 Tm 3.27-3.55
Sc 0.0000 0.0000 0.5000 [4 per cell]  4 Tm 2.92-3.22

---

Most stable: #a. Least stable: #b.